Entry 1:
VASP calculation (GGA-PBE) on a geometry-optimized LuCoBIr structure.

Structure (CIF):
```
data_LuCoBIr
_space_group_name_H-M_alt 'F -4 3 m'
_space_group_IT_number 216
_space_group_name_Hall 'F -4 2 3'
_cell_length_a 6.167
_cell_length_b 6.167
_cell_length_c 6.167
_cell_angle_alpha 90.00
_cell_angle_beta 90.00
_cell_angle_gamma 90.00
loop_
_atom_site_label
_atom_site_type_symbol
_atom_site_fract_x
_atom_site_fract_y
_atom_site_fract_z
Lu1 Lu 0.000 0.000 0.000
Co1 Co 0.000 0.000 0.500
B1 B 0.250 0.250 0.250
Ir1 Ir 0.250 0.250 0.750
```

Output
Calculated total energy: -6.3907 eV per atom
V: 14.66 Å³/atom
Density: 12.37 g/cm3



Entry 2:
VASP calculation (GGA-PBE) on a geometry-optimized PrNpSn structure.

Structure (CIF):
```
data_PrNpSn
_space_group_name_H-M_alt 'F -4 3 m'
_space_group_IT_number 216
_space_group_name_Hall 'F -4 2 3'
_cell_length_a 7.382
_cell_length_b 7.382
_cell_length_c 7.382
_cell_angle_alpha 90.00
_cell_angle_beta 90.00
_cell_angle_gamma 90.00
loop_
_atom_site_label
_atom_site_type_symbol
_atom_site_fract_x
_atom_site_fract_y
_atom_site_fract_z
Pr1 Pr 0.000 0.000 0.000
Np1 Np 0.250 0.250 0.750
Sn1 Sn 0.250 0.250 0.250
```

Output
Calculated total energy: -6.6536 eV per atom
V: 33.53 Å³/atom
Density: 8.20 g/cm3



Entry 3:
VASP calculation (GGA-PBE) on a geometry-optimized ThPaMo structure.

Structure (CIF):
```
data_ThPaMo
_space_group_name_H-M_alt 'F -4 3 m'
_space_group_IT_number 216
_space_group_name_Hall 'F -4 2 3'
_cell_length_a 6.901
_cell_length_b 6.901
_cell_length_c 6.901
_cell_angle_alpha 90.00
_cell_angle_beta 90.00
_cell_angle_gamma 90.00
loop_
_atom_site_label
_atom_site_type_symbol
_atom_site_fract_x
_atom_site_fract_y
_atom_site_fract_z
Th1 Th 0.000 0.000 0.000
Pa1 Pa 0.000 0.000 0.500
Mo1 Mo 0.250 0.250 0.750
```

Output
Calculated total energy: -8.7565 eV per atom
V: 27.39 Å³/atom
Density: 11.30 g/cm3



Entry 4:
VASP calculation (GGA-PBE) on a geometry-optimized BeIr structure.

Structure (CIF):
```
data_BeIr
_space_group_name_H-M_alt 'F m -3 m'
_space_group_IT_number 225
_space_group_name_Hall '-F 4 2 3'
_cell_length_a 4.570
_cell_length_b 4.570
_cell_length_c 4.570
_cell_angle_alpha 90.00
_cell_angle_beta 90.00
_cell_angle_gamma 90.00
loop_
_atom_site_label
_atom_site_type_symbol
_atom_site_fract_x
_atom_site_fract_y
_atom_site_fract_z
Be1 Be 0.000 0.000 0.000
Ir1 Ir 0.000 0.000 0.500
```

Output
Calculated total energy: -6.1855 eV per atom
V: 11.93 Å³/atom
Density: 14.01 g/cm3



Entry 5:
VASP calculation (GGA-PBE) on a geometry-optimized PrCdIr structure.

Structure (CIF):
```
data_PrCdIr
_space_group_name_H-M_alt 'F -4 3 m'
_space_group_IT_number 216
_space_group_name_Hall 'F -4 2 3'
_cell_length_a 6.902
_cell_length_b 6.902
_cell_length_c 6.902
_cell_angle_alpha 90.00
_cell_angle_beta 90.00
_cell_angle_gamma 90.00
loop_
_atom_site_label
_atom_site_type_symbol
_atom_site_fract_x
_atom_site_fract_y
_atom_site_fract_z
Pr1 Pr 0.000 0.000 0.000
Cd1 Cd 0.250 0.250 0.750
Ir1 Ir 0.250 0.250 0.250
```

Output
Calculated total energy: -4.5623 eV per atom
V: 27.40 Å³/atom
Density: 9.00 g/cm3



Entry 6:
VASP calculation (GGA-PBE) on a geometry-optimized NdAlPO structure.

Structure (CIF):
```
data_NdAlPO
_space_group_name_H-M_alt 'P m c 21'
_space_group_IT_number 26
_space_group_name_Hall 'P 2c -2'
_cell_length_a 4.073
_cell_length_b 6.761
_cell_length_c 5.728
_cell_angle_alpha 90.00
_cell_angle_beta 90.00
_cell_angle_gamma 90.00
loop_
_atom_site_label
_atom_site_type_symbol
_atom_site_fract_x
_atom_site_fract_y
_atom_site_fract_z
Nd1 Nd 0.000 0.190 0.000
Al1 Al 0.500 0.386 0.606
P1 P 0.000 0.233 0.496
O1 O 0.500 0.384 0.935
```

Output
Calculated total energy: -6.3908 eV per atom
V: 19.72 Å³/atom
Density: 4.59 g/cm3